Record 1
## MnSi2Tc (PBE-GGA)

Data for a relaxed MnSi2Tc crystal.

a = 4.201 Å, b = 2.812 Å, c = 4.758 Å
α = 90.00°, β = 112.23°, γ = 90.00°
Fractional coordinates of all 4 atoms:
Mn  0.000  0.000  0.000
Si  0.500  0.000  0.500
Si  0.500  0.500  0.000
Tc  0.000  0.500  0.500

Calculated values
- DOS at the Fermi energy: 2.99 states/eV/f.u.
- Space group: P2/m
- Raw formation energy: -0.8 eV per formula unit
- Distance to the lowest polymorph of the same formula: 0.168 eV/atom

---

Record 2
## Rb3TbNd2O6 (PBE-GGA)

Data for a relaxed Rb3TbNd2O6 crystal.

a = 6.278 Å, b = 6.278 Å, c = 6.923 Å
α = 98.69°, β = 98.69°, γ = 120.00°
Fractional coordinates of all 12 atoms:
Rb  0.000  0.000  0.000
Rb  0.334  0.666  0.000
Rb  0.666  0.334  0.000
Tb  0.500  0.500  0.500
Nd  0.167  0.833  0.500
Nd  0.833  0.167  0.500
O  0.116  0.440  0.321
O  0.235  0.235  0.679
O  0.440  0.116  0.321
O  0.560  0.884  0.679
O  0.765  0.765  0.321
O  0.884  0.560  0.679

Calculated values
- DOS at the Fermi energy: 0.00 states/eV/f.u.
- Space group: C2/m
- Raw formation energy: -31.1 eV per formula unit

---

- Among the records above, which one has the lowest raw formation energy?
  Rb3TbNd2O6